CaIn2Re: relaxed, PBE-GGA.

The space group is Cmm2 (No. 35) and the conventional cell measures 3.808, 4.891 and 9.547 Å, with angles of 90.00, 90.00 and 90.00 degrees. The inequivalent atoms are Ca at (0.000, 0.000, 0.000), In at (0.000, 0.000, 0.451), In at (0.000, 0.500, 0.714) and Re at (0.000, 0.500, 0.237).

As for the energy above the most stable polymorph in this dataset: 0.234 eV per atom. The magnetization is 0.0 μB per formula unit. As for the formation enthalpy at 0 K: 0.481 eV per atom.